[1]
First-principles (GGA-PBE) data for a relaxed ScP3Ir crystal, as listed in Alexandria.

It has space group Pm-3m (No. 221), with a = 4.7630 Å, b = 4.7630 Å, c = 4.7630 Å, α = 90.00°, β = 90.00° and γ = 90.00°. The distinct sites, in fractional coordinates, are Sc at (0.0000, 0.0000, 0.0000), P at (0.0000, 0.0000, 0.5000) and Ir at (0.5000, 0.5000, 0.5000).

The relative energy among the computed polymorphs is 0.869 eV per atom. The spin magnetization is 0.0 μB/f.u. The value obtained for the formation energy is 1.199 eV per atom.

=====

[2]
First-principles (GGA-PBE) data for a relaxed Cu2SiTe crystal, as listed in Alexandria.

It has space group I-42d (No. 122), with a = 6.1536 Å, b = 6.1536 Å, c = 8.9513 Å, α = 90.00°, β = 90.00° and γ = 90.00°. The distinct sites, in fractional coordinates, are Cu at (0.2183, 0.2500, 0.1250), Si at (0.0000, 0.0000, 0.0000) and Te at (0.0000, 0.0000, 0.5000).

The relative energy among the computed polymorphs is 0.269 eV per atom. For the formation energy (no corrections), the calculation gives 0.333 eV per atom. The spin magnetization is 0.0 μB/f.u.

=====

[3]
First-principles (GGA-PBE) data for a relaxed PmSm2Y3P6 crystal, as listed in Alexandria.

It has space group C2/m (No. 12), with a = 7.0427 Å, b = 12.1963 Å, c = 7.0394 Å, α = 90.00°, β = 109.46° and γ = 90.00°. The distinct sites, in fractional coordinates, are Pm at (0.0000, 0.0000, 0.0000), Sm at (0.0000, 0.3333, 0.0000), Y at (0.0000, 0.1665, 0.5000), Y at (0.0000, 0.5000, 0.5000), P at (0.2477, 0.3329, 0.7442) and P at (0.2488, 0.0000, 0.7441).

The spin magnetization is 0.0 μB/f.u. The value obtained for the formation energy is -1.596 eV per atom.

=====

[4]
First-principles (GGA-PBE) data for a relaxed Tb6PmHg3 crystal, as listed in Alexandria.

It has space group P2_1/m (No. 11), with a = 10.3363 Å, b = 5.0490 Å, c = 11.4772 Å, α = 90.00°, β = 90.13° and γ = 90.00°. The distinct sites, in fractional coordinates, are Tb at (0.0186, 0.2500, 0.1162), Tb at (0.0304, 0.2500, 0.6119), Tb at (0.2430, 0.2500, 0.8534), Tb at (0.2497, 0.7500, 0.2398), Tb at (0.4040, 0.2500, 0.4311), Tb at (0.4637, 0.2500, 0.1146), Pm at (0.2542, 0.7500, 0.6200), Hg at (0.1309, 0.2500, 0.3673), Hg at (0.2599, 0.7500, 0.9867) and Hg at (0.4695, 0.2500, 0.6907).

The spin magnetization is 0.0 μB/f.u. The value obtained for the formation energy is -0.219 eV per atom.

=====

Number 1: uncorrected energy -5.085 eV per atom. Number 2: uncorrected energy -3.856 eV per atom. Number 3: uncorrected energy -7.100 eV per atom. Number 4: uncorrected energy -3.563 eV per atom.